## Ba2MgCd (PBE)

Data for a relaxed structure of Ba2MgCd.

Summary:
The value obtained for the total DFT energy (no corrections) is -1.69 eV per atom. The space group is P4mm.

Cell and atoms, written as POSCAR:
```
Ba2MgCd
1.0
-2.866 1.899 2.360
-1.477 -3.713 1.193
6.012 -0.036 7.329
Ba Mg Cd
2 1 1
Cartesian
-0.254 -0.919 4.114
5.620 -0.034 6.851
2.003 -0.932 6.865
3.319 -0.020 4.046
```


## La3Dy (PBE)

Data for a relaxed structure of La3Dy.

Summary:
As for the offset from the most stable computed form: 128 meV/atom. The value obtained for the total DFT energy (no corrections) is -4.71 eV per atom. The space group is Fm-3m.

Cell and atoms, written as POSCAR:
```
La3Dy
1.0
5.896 0.000 0.000
2.948 5.106 0.000
2.948 1.702 4.814
La Dy
3 1
Cartesian
8.843 5.106 3.610
0.000 0.000 0.000
2.948 1.702 1.203
5.896 3.404 2.407
```


One value per record, in order, for formation enthalpy at 0 K: -101.9 134.8 meV per atom.